# PBE Tb2PrHoEr2, optimized geometry
# symmetry: Pnnm
# final energy: -4.35 eV/atom
# ΔE_f: 277 meV/atom
# N(E_F): 9.810 states/eV/f.u.
data_Tb2PrHoEr2
_cell_length_a 6.4997
_cell_length_b 17.8884
_cell_length_c 3.4033
_cell_angle_alpha 90.00
_cell_angle_beta 90.00
_cell_angle_gamma 90.00
_space_group_name_H-M_alt 'P 1'
_space_group_IT_number 1
loop_
_space_group_symop_operation_xyz
'x,y,z'
loop_
_atom_site_label
_atom_site_fract_x
_atom_site_fract_y
_atom_site_fract_z
Tb1 0.2190 0.1884 0.0000
Tb2 0.2810 0.6884 0.5000
Tb3 0.7190 0.3116 0.5000
Tb4 0.7810 0.8116 0.0000
Pr1 0.0000 0.0000 0.0000
Pr2 0.5000 0.5000 0.5000
Ho1 0.0000 0.5000 0.0000
Ho2 0.5000 0.0000 0.5000
Er1 0.2160 0.3527 0.5000
Er2 0.2840 0.8527 0.0000
Er3 0.7160 0.1473 0.0000
Er4 0.7840 0.6473 0.5000



# PBE Tl2IrSe4, optimized geometry
# symmetry: I4/mmm
# formation energy (no corrections): 0.09 eV/atom
# final energy: -3.85 eV/atom
# N(E_F): 8.916 states/eV/f.u.
data_Tl2IrSe4
_cell_length_a 8.5252
_cell_length_b 8.5252
_cell_length_c 8.5252
_cell_angle_alpha 146.00
_cell_angle_beta 146.00
_cell_angle_gamma 48.85
_space_group_name_H-M_alt 'P 1'
_space_group_IT_number 1
loop_
_space_group_symop_operation_xyz
'x,y,z'
loop_
_atom_site_label
_atom_site_fract_x
_atom_site_fract_y
_atom_site_fract_z
Tl1 0.1402 0.1402 0.0000
Tl2 0.8598 0.8598 0.0000
Ir1 0.5000 0.5000 0.0000
Se1 0.0000 0.5000 0.5000
Se2 0.3395 0.3395 0.0000
Se3 0.5000 0.0000 0.5000
Se4 0.6605 0.6605 0.0000



# PBE AlTcSb, optimized geometry
# symmetry: F-43m
# formation energy (no corrections): 0.10 eV/atom
# ΔE to the lowest computed polymorph: 166 meV/atom
# final energy: -5.98 eV/atom
# N(E_F): 2.227 states/eV/f.u.
data_AlTcSb
_cell_length_a 4.3827
_cell_length_b 4.3827
_cell_length_c 4.3827
_cell_angle_alpha 60.00
_cell_angle_beta 60.00
_cell_angle_gamma 60.00
_space_group_name_H-M_alt 'P 1'
_space_group_IT_number 1
loop_
_space_group_symop_operation_xyz
'x,y,z'
loop_
_atom_site_label
_atom_site_fract_x
_atom_site_fract_y
_atom_site_fract_z
Al1 0.0000 0.0000 0.0000
Tc1 0.7500 0.7500 0.7500
Sb1 0.5000 0.5000 0.5000



# PBE In4AgRh3, optimized geometry
# symmetry: R-3m
# final energy: -4.76 eV/atom
# ΔE_f: -279 meV/atom
# N(E_F): 2.980 states/eV/f.u.
data_In4AgRh3
_cell_length_a 8.0572
_cell_length_b 8.0572
_cell_length_c 8.0572
_cell_angle_alpha 33.39
_cell_angle_beta 33.39
_cell_angle_gamma 33.39
_space_group_name_H-M_alt 'P 1'
_space_group_IT_number 1
loop_
_space_group_symop_operation_xyz
'x,y,z'
loop_
_atom_site_label
_atom_site_fract_x
_atom_site_fract_y
_atom_site_fract_z
In1 0.1220 0.1220 0.1220
In2 0.3720 0.3720 0.3720
In3 0.6280 0.6280 0.6280
In4 0.8780 0.8780 0.8780
Ag1 0.5000 0.5000 0.5000
Rh1 0.0000 0.0000 0.0000
Rh2 0.2493 0.2493 0.2493
Rh3 0.7507 0.7507 0.7507



> The highest final energy belongs to which entry?

Tl2IrSe4